HoB3Ir3 | Alexandria via LeMat-Bulk | PBE-GGA | relaxed; total moment = 0.00 μB per formula unit; energy of formation = -36 kJ/mol of atoms
1.0
5.872 0.000 0.000
0.000 5.872 0.000
0.000 0.000 5.872
Ho B Ir
2 6 6
Direct
0.000 0.000 0.000
0.500 0.500 0.500
0.000 0.250 0.500
0.000 0.750 0.500
0.250 0.500 0.000
0.500 0.000 0.250
0.500 0.000 0.750
0.750 0.500 0.000
0.000 0.500 0.250
0.000 0.500 0.750
0.250 0.000 0.500
0.500 0.250 0.000
0.500 0.750 0.000
0.750 0.000 0.500